TcSN2F after structural relaxation. Source: Alexandria via LeMat-Bulk, functional PBE.

As for the calculated volume: 13.94 Å³/atom. Its space-group type is P4/mmm (123). As for the total energy: -6.03 eV per atom. The polymorph energy (0 for the lowest one) comes out at 0.000 eV per atom. Its energy relative to the elements, uncorrected is 0.58 eV per atom.

Cell lengths 3.796, 3.796, 4.837 Å; angles 90.00, 90.00, 90.00 degrees
Positions (direct):
Tc  0.000  0.000  0.000
S  0.000  0.000  0.500
N  0.000  0.500  0.000
N  0.500  0.000  0.000
F  0.500  0.500  0.500